one) # MoBr4Cl

Crystalline MoBr4Cl at its relaxed geometry (GGA-PBE, the Alexandria database).

Results
Symmetry = F-43m (216)
Calculated volume = 159 Å³/f.u.

Unit cell a=6.0862 b=6.0862 c=6.0862 alpha=60.00 beta=60.00 gamma=60.00
Last column: nearest neighbours and their distance in Å.
Fractional positions:
Mo: 0.0000 0.0000 0.0000  12 Br 3.57, 4 Cl 3.73
Br: 0.1242 0.6253 0.6253  6 Br 3.04-3.05
Br: 0.6253 0.1242 0.6253  6 Br 3.04-3.05
Br: 0.6253 0.6253 0.1242  6 Br 3.04-3.05
Br: 0.6253 0.6253 0.6253  6 Br 3.04-3.05
Cl: 0.2500 0.2500 0.2500  12 Br 3.57, 4 Mo 3.73


two) # MoBr4Cl

Crystalline MoBr4Cl at its relaxed geometry (GGA-PBE, the Alexandria database).

Results
Symmetry = P4_2/mmc (131)
Calculated volume = 301 Å³/f.u.

Unit cell a=8.6727 b=8.6727 c=7.9977 alpha=90.00 beta=90.00 gamma=90.00
Last column: nearest neighbours and their distance in Å.
Fractional positions:
Mo: 0.0000 0.5000 0.0000  4 Br 2.44
Mo: 0.5000 0.0000 0.5000  4 Br 2.44
Br: 0.1965 0.2988 0.0000  1 Mo 2.44
Br: 0.1965 0.7012 0.0000  1 Mo 2.44
Br: 0.2988 0.1965 0.5000  1 Mo 2.44
Br: 0.2988 0.8035 0.5000  1 Mo 2.44
Br: 0.7012 0.1965 0.5000  1 Mo 2.44
Br: 0.7012 0.8035 0.5000  1 Mo 2.44
Br: 0.8035 0.2988 0.0000  1 Mo 2.44
Br: 0.8035 0.7012 0.0000  1 Mo 2.44
Cl: 0.0000 0.0000 0.0000  4 Br 3.10
Cl: 0.0000 0.0000 0.5000  4 Br 3.10


What should be chosen as the least stable of them? Choose one).


one) # MoP2BrCl

Crystalline MoP2BrCl at its relaxed geometry (GGA-PBE, the Alexandria database).

Results
Symmetry = P4/mmm (123)
Calculated volume = 117 Å³/f.u.

Unit cell a=4.9064 b=4.9064 c=4.8561 alpha=90.00 beta=90.00 gamma=90.00
Last column: nearest neighbours and their distance in Å.
Fractional positions:
Mo: 0.0000 0.0000 0.0000  8 P 3.45, 4 Cl 3.47
P: 0.0000 0.5000 0.5000  2 Br 2.45
P: 0.5000 0.0000 0.5000  2 Br 2.45
Br: 0.5000 0.5000 0.5000  2 Cl 2.43, 4 P 2.45
Cl: 0.5000 0.5000 0.0000  2 Br 2.43


two) # MoP2BrCl

Crystalline MoP2BrCl at its relaxed geometry (GGA-PBE, the Alexandria database).

Results
Symmetry = P4/mmm (123)
Calculated volume = 108 Å³/f.u.

Unit cell a=4.7335 b=4.7335 c=4.8282 alpha=90.00 beta=90.00 gamma=90.00
Last column: nearest neighbours and their distance in Å.
Fractional positions:
Mo: 0.0000 0.0000 0.0000  4 P 2.37, 2 Cl 2.41
P: 0.0000 0.5000 0.0000  2 Mo 2.37
P: 0.5000 0.0000 0.0000  2 Mo 2.37
Br: 0.5000 0.5000 0.5000  4 Cl 3.35, 8 P 3.38
Cl: 0.0000 0.0000 0.5000  2 Mo 2.41


What should be chosen as the least stable of them? Choose one).


one) # MoSeBr2Cl

Crystalline MoSeBr2Cl at its relaxed geometry (GGA-PBE, the Alexandria database).

Results
Symmetry = P4/mmm (123)
Calculated volume = 126 Å³/f.u.

Unit cell a=5.0817 b=5.0817 c=4.8775 alpha=90.00 beta=90.00 gamma=90.00
Last column: nearest neighbours and their distance in Å.
Fractional positions:
Mo: 0.0000 0.0000 0.0000  2 Se 2.44, 4 Br 2.54
Se: 0.0000 0.0000 0.5000  2 Mo 2.44
Br: 0.0000 0.5000 0.0000  2 Mo 2.54
Br: 0.5000 0.0000 0.0000  2 Mo 2.54
Cl: 0.5000 0.5000 0.5000  8 Br 3.52, 4 Se 3.59


two) # MoSeBr2Cl

Crystalline MoSeBr2Cl at its relaxed geometry (GGA-PBE, the Alexandria database).

Results
Symmetry = P4/mmm (123)
Calculated volume = 140 Å³/f.u.

Unit cell a=5.0993 b=5.0993 c=5.3790 alpha=90.00 beta=90.00 gamma=90.00
Last column: nearest neighbours and their distance in Å.
Fractional positions:
Mo: 0.0000 0.0000 0.0000  4 Se 3.61, 8 Br 3.71
Se: 0.5000 0.5000 0.0000  2 Cl 2.69
Br: 0.0000 0.5000 0.5000  2 Cl 2.55
Br: 0.5000 0.0000 0.5000  2 Cl 2.55
Cl: 0.5000 0.5000 0.5000  4 Br 2.55, 2 Se 2.69


What should be chosen as the least stable of them? Choose two).


one) # P2BrNCl

Crystalline P2BrNCl at its relaxed geometry (GGA-PBE, the Alexandria database).

Results
Symmetry = P4/mmm (123)
Calculated volume = 83 Å³/f.u.

Unit cell a=4.3871 b=4.3871 c=4.3122 alpha=90.00 beta=90.00 gamma=90.00
Last column: nearest neighbours and their distance in Å.
Fractional positions:
P: 0.0000 0.5000 0.0000  2 N 2.19
P: 0.5000 0.0000 0.0000  2 N 2.19
Br: 0.0000 0.0000 0.5000  8 P 3.08, 4 Cl 3.10
N: 0.5000 0.5000 0.0000  2 Cl 2.16, 4 P 2.19
Cl: 0.5000 0.5000 0.5000  2 N 2.16


two) # P2BrNCl

Crystalline P2BrNCl at its relaxed geometry (GGA-PBE, the Alexandria database).

Results
Symmetry = P4/mmm (123)
Calculated volume = 124 Å³/f.u.

Unit cell a=4.9889 b=4.9889 c=4.9623 alpha=90.00 beta=90.00 gamma=90.00
Last column: nearest neighbours and their distance in Å.
Fractional positions:
P: 0.0000 0.5000 0.0000  2 Br 2.49
P: 0.5000 0.0000 0.0000  2 Br 2.49
Br: 0.0000 0.0000 0.0000  2 Cl 2.48, 4 P 2.49
N: 0.5000 0.5000 0.5000  8 P 3.52, 4 Cl 3.53
Cl: 0.0000 0.0000 0.5000  2 Br 2.48


What should be chosen as the least stable of them? Choose two).


one) # TeBrN2Cl

Crystalline TeBrN2Cl at its relaxed geometry (GGA-PBE, the Alexandria database).

Results
Symmetry = P4/mmm (123)
Calculated volume = 156 Å³/f.u.

Unit cell a=4.2215 b=4.2215 c=8.7661 alpha=90.00 beta=90.00 gamma=90.00
Last column: nearest neighbours and their distance in Å.
Fractional positions:
Te: 0.0000 0.0000 0.0000  4 Br 2.99
Br: 0.5000 0.5000 0.0000  4 Te 2.99
N: 0.0000 0.5000 0.5000  2 Cl 2.11
N: 0.5000 0.0000 0.5000  2 Cl 2.11
Cl: 0.0000 0.0000 0.5000  4 N 2.11


two) # TeBrN2Cl

Crystalline TeBrN2Cl at its relaxed geometry (GGA-PBE, the Alexandria database).

Results
Symmetry = P4/mmm (123)
Calculated volume = 136 Å³/f.u.

Unit cell a=3.9976 b=3.9976 c=8.4804 alpha=90.00 beta=90.00 gamma=90.00
Last column: nearest neighbours and their distance in Å.
Fractional positions:
Te: 0.0000 0.0000 0.0000  4 Cl 2.83
Br: 0.0000 0.0000 0.5000  4 N 2.00
N: 0.0000 0.5000 0.5000  2 Br 2.00
N: 0.5000 0.0000 0.5000  2 Br 2.00
Cl: 0.5000 0.5000 0.0000  4 Te 2.83


What should be chosen as the least stable of them? Choose one).


one) # NaBrCl2

Crystalline NaBrCl2 at its relaxed geometry (GGA-PBE, the Alexandria database).

Results
Symmetry = I-42d (122)
Calculated volume = 114 Å³/f.u.

Unit cell a=6.6674 b=6.6674 c=6.6674 alpha=109.91 beta=109.91 gamma=108.60
Last column: nearest neighbours and their distance in Å.
Fractional positions:
Na: 0.0000 0.0000 0.0000  4 Cl 2.76
Na: 0.7500 0.2500 0.5000  4 Cl 2.76
Br: 0.2500 0.7500 0.5000  4 Cl 3.00
Br: 0.5000 0.5000 0.0000  4 Cl 3.00
Cl: 0.1009 0.6250 0.9759  2 Na 2.76, 2 Br 3.00
Cl: 0.3750 0.3509 0.4759  2 Na 2.76, 2 Br 3.00
Cl: 0.6491 0.1250 0.0241  2 Na 2.76, 2 Br 3.00
Cl: 0.8750 0.8991 0.5241  2 Na 2.76, 2 Br 3.00


two) # NaBrCl2

Crystalline NaBrCl2 at its relaxed geometry (GGA-PBE, the Alexandria database).

Results
Symmetry = R-3m (166)
Calculated volume = 110 Å³/f.u.

Unit cell a=5.4366 b=5.4366 c=5.4366 alpha=58.76 beta=58.76 gamma=58.76
Last column: nearest neighbours and their distance in Å.
Fractional positions:
Na: 0.0000 0.0000 0.0000  2 Cl 2.65
Br: 0.5000 0.5000 0.5000  6 Cl 3.11
Cl: 0.1972 0.1972 0.1972  1 Na 2.65
Cl: 0.8028 0.8028 0.8028  1 Na 2.65


three) # NaBrCl2

Crystalline NaBrCl2 at its relaxed geometry (GGA-PBE, the Alexandria database).

Results
Symmetry = P6_3/mmc (194)
Calculated volume = 127 Å³/f.u.

Unit cell a=4.4399 b=4.4399 c=14.9026 alpha=90.00 beta=90.00 gamma=120.00
Last column: nearest neighbours and their distance in Å.
Fractional positions:
Na: 0.0000 0.0000 0.0000  6 Cl 2.88
Na: 0.0000 0.0000 0.5000  6 Cl 2.88
Br: 0.3333 0.6667 0.2500  2 Cl 2.42
Br: 0.6667 0.3333 0.7500  2 Cl 2.42
Cl: 0.3333 0.6667 0.0877  1 Br 2.42
Cl: 0.3333 0.6667 0.4123  1 Br 2.42
Cl: 0.6667 0.3333 0.5877  1 Br 2.42
Cl: 0.6667 0.3333 0.9123  1 Br 2.42


What should be chosen as the least stable of them? Choose two).